! PBE Sb4Pd5Pt, relaxed; values from VASP
&SYSTEM
  ibrav = 0, nat = 20, ntyp = 3
/
ATOMIC_SPECIES
Pt 195.08 Pt.upf
Sb 121.76 Sb.upf
Pd 106.42 Pd.upf
ATOMIC_POSITIONS crystal
Pt 0.2711 0.5000 0.5000
Pt 0.7289 0.0000 0.0000
Sb 0.9892 0.5000 0.7452
Sb 0.0108 0.0000 0.2452
Sb 0.5654 0.7415 0.5000
Sb 0.5654 0.2585 0.5000
Sb 0.0108 0.0000 0.7548
Sb 0.4346 0.7585 0.0000
Sb 0.9892 0.5000 0.2548
Sb 0.4346 0.2415 0.0000
Pd 0.7124 0.5000 0.0000
Pd 0.2876 0.0000 0.5000
Pd 0.2509 0.2528 0.2760
Pd 0.7491 0.7528 0.2240
Pd 0.7491 0.2472 0.2240
Pd 0.2509 0.7472 0.7240
Pd 0.7491 0.7528 0.7760
Pd 0.7491 0.2472 0.7760
Pd 0.2509 0.7472 0.2760
Pd 0.2509 0.2528 0.7240
CELL_PARAMETERS angstrom
5.7825 0.0000 0.0000
0.0000 8.7295 0.0000
0.0000 0.0000 8.7989
! raw formation energy = -281.8 meV per atom
! magnetization = 0.00 μB/f.u.
! raw total energy = -5.131 eV/atom